# Ba2NaTlO4

A geometry-optimized Ba2NaTlO4 structure (PBE, Alexandria via LeMat-Bulk).

Its total moment is 0.04 μB per cell. The uncorrected formation energy is -13.31 eV/f.u. For the total DFT energy (no corrections), the calculation gives -5.08 eV per atom.

The space group is C2/c (No. 15) and the conventional cell measures 10.785, 9.996 and 7.663 Å, with angles of 90.00, 134.62 and 90.00 degrees. Symmetry generates all atoms from Ba at (0.000, 0.000, 0.000), Ba at (0.250, 0.250, 0.000), Na at (0.000, 0.500, 0.000), Tl at (0.250, 0.250, 0.500), O at (0.003, 0.261, 0.503) and O at (0.247, 0.030, 0.495).



# Ba3NaTl2O6

A geometry-optimized Ba3NaTl2O6 structure (PBE, Alexandria via LeMat-Bulk).

Its total moment is 0.00 μB per cell. The uncorrected formation energy is -17.75 eV/f.u. For the total DFT energy (no corrections), the calculation gives -4.94 eV per atom.

The space group is P-3m1 (No. 164) and the conventional cell measures 6.4081, 6.4081 and 6.8979 Å, with angles of 90.00, 90.00 and 120.00 degrees. Symmetry generates all atoms from Ba at (0.0000, 0.0000, 0.0000), Ba at (0.3333, 0.6667, 0.6070), Na at (0.0000, 0.0000, 0.5000), Tl at (0.3333, 0.6667, 0.1306) and O at (0.1690, 0.3380, 0.2955).



# BaNaTlO3

A geometry-optimized BaNaTlO3 structure (PBE, Alexandria via LeMat-Bulk).

Its total moment is 0.00 μB per cell. The uncorrected formation energy is -9.23 eV/f.u. For the total DFT energy (no corrections), the calculation gives -4.95 eV per atom.

The space group is C2/c (No. 15) and the conventional cell measures 5.920, 11.941 and 5.964 Å, with angles of 90.00, 104.05 and 90.00 degrees. Symmetry generates all atoms from Ba at (0.000, 0.248, 0.250), Na at (0.000, 0.062, 0.750), Tl at (0.000, 0.439, 0.750), O at (0.000, 0.257, 0.750) and O at (0.234, 0.437, 0.491).



# BaNaTlO2

A geometry-optimized BaNaTlO2 structure (PBE, Alexandria via LeMat-Bulk).

Its total moment is 0.00 μB per cell. The uncorrected formation energy is -6.50 eV/f.u. For the total DFT energy (no corrections), the calculation gives -4.41 eV per atom.

The space group is P2/c (No. 13) and the conventional cell measures 6.541, 5.394 and 6.793 Å, with angles of 90.00, 98.33 and 90.00 degrees. Symmetry generates all atoms from Ba at (0.000, 0.146, 0.250), Na at (0.500, 0.015, 0.750), Tl at (0.500, 0.500, 0.000) and O at (0.255, 0.132, 0.974).